Entry 1:
Hg2C | PBE | optimized geometry

Calculated values
Energy of formation from the pure elements = 1.711 eV/atom
Final energy = -0.0575 Ha/atom
Total magnetization = 0.0 Bohr magnetons per cell
Space-group type = No. 160
Crystal system = trigonal
Energy above the most stable polymorph in this dataset = 1239.5 meV per atom

Cell lengths 5.6817, 5.6817, 5.6817 Å; angles 35.91, 35.91, 35.91 degrees
With the nearest neighbours (Å) after each atom.
Fractional coordinates of all 3 atoms:
Hg: 0.5734 0.5734 0.5734  3 C 2.49
Hg: 0.7621 0.7621 0.7621  3 C 2.55
C: 0.9977 0.9977 0.9977  6 Hg 2.49-2.55

Entry 2:
NdAl4CuAu2 | PBE | optimized geometry

Calculated values
Energy of formation from the pure elements = -0.429 eV/atom
Final energy = -0.1554 Ha/atom
Total magnetization = 0.0 Bohr magnetons per cell
Space-group type = No. 166
Crystal system = trigonal

Cell lengths 4.3514, 4.3514, 9.2624 Å; angles 76.41, 76.41, 60.00 degrees
With the nearest neighbours (Å) after each atom.
Fractional coordinates of all 8 atoms:
Nd: 0.0000 0.0000 0.0000  6 Al 3.13
Al: 0.1312 0.1312 0.6065  3 Cu 2.69, 4 Au 2.69-2.87, 3 Al 3.00
Al: 0.5969 0.5969 0.2093  1 Cu 2.59, 3 Au 2.60
Al: 0.8688 0.8688 0.3935  3 Cu 2.69, 4 Au 2.69-2.87, 3 Al 3.00
Al: 0.4031 0.4031 0.7907  1 Cu 2.59, 3 Au 2.60
Au: 0.2384 0.2384 0.2849  7 Al 2.60-2.87
Au: 0.7616 0.7616 0.7151  7 Al 2.60-2.87
Cu: 0.5000 0.5000 0.5000  8 Al 2.59-2.69